# 1
{
  "formula": "Ce3Tl2In4",
  "functional": "GGA-PBE",
  "state": "relaxed",
  "dft_energy_ev_per_fu": -35.73,
  "space_group": "P-62m",
  "lattice": [[8.0099, 0.0000, 0.0000], [-4.0049, 6.9368, 0.0000], [0.0000, 0.0000, 4.5732]],
  "species": ["Ce", "Ce", "Ce", "Tl", "Tl", "In", "In", "In", "In"],
  "frac_coords": [[0.0000, 0.3991, 0.0000], [0.3991, 0.0000, 0.0000], [0.6009, 0.6009, 0.0000], [0.3333, 0.6667, 0.5000], [0.6667, 0.3333, 0.5000], [0.0000, 0.0000, 0.0000], [0.0000, 0.7479, 0.5000], [0.2521, 0.2521, 0.5000], [0.7479, 0.0000, 0.5000]]
}



# 2
{
  "formula": "LaIrRhO6",
  "functional": "GGA-PBE",
  "state": "relaxed",
  "dft_energy_ev_per_fu": -64.33,
  "space_group": "P-31c",
  "lattice": [[5.2896, 0.0000, 0.0000], [-2.6448, 4.5809, 0.0000], [0.0000, 0.0000, 10.2830]],
  "species": ["La", "La", "Ir", "Ir", "Rh", "Rh", "O", "O", "O", "O", "O", "O", "O", "O", "O", "O", "O", "O"],
  "frac_coords": [[0.0000, 0.0000, 0.0000], [0.0000, 0.0000, 0.5000], [0.3333, 0.6667, 0.2500], [0.6667, 0.3333, 0.7500], [0.3333, 0.6667, 0.7500], [0.6667, 0.3333, 0.2500], [0.0063, 0.3695, 0.1448], [0.0063, 0.6368, 0.3552], [0.3632, 0.3695, 0.3552], [0.3632, 0.9937, 0.1448], [0.3695, 0.0063, 0.6448], [0.3695, 0.3632, 0.8552], [0.6305, 0.6368, 0.1448], [0.6305, 0.9937, 0.3552], [0.6368, 0.0063, 0.8552], [0.6368, 0.6305, 0.6448], [0.9937, 0.3632, 0.6448], [0.9937, 0.6305, 0.8552]]
}



# 3
{
  "formula": "Rb3HfAs",
  "functional": "GGA-PBE",
  "state": "relaxed",
  "dft_energy_ev_per_fu": -10.70,
  "space_group": "Pm-3m",
  "lattice": [[6.7508, 0.0000, 0.0000], [0.0000, 6.7508, 0.0000], [0.0000, 0.0000, 6.7508]],
  "species": ["Rb", "Rb", "Rb", "Hf", "As"],
  "frac_coords": [[0.0000, 0.0000, 0.5000], [0.0000, 0.5000, 0.0000], [0.5000, 0.0000, 0.0000], [0.0000, 0.0000, 0.0000], [0.5000, 0.5000, 0.5000]]
}



# 4
{
  "formula": "MnRhW",
  "functional": "GGA-PBE",
  "state": "relaxed",
  "e_above_lowest_polymorph_ev_per_fu": 0.00,
  "space_group": "Imm2",
  "lattice": [[-1.3853, 1.8386, 4.2184], [1.3853, -1.8386, 4.2184], [1.3853, 1.8386, -4.2184]],
  "species": ["Mn", "Rh", "W"],
  "frac_coords": [[0.0000, 0.0000, 0.0000], [0.6643, 0.6643, 0.0000], [0.3346, 0.3346, 0.0000]]
}